Crystalline Ba3BeCu at its relaxed geometry. Source: Alexandria, functional PBE.

Structure (POSCAR):
```
Ba3BeCu
1.0
-5.8616 1.9351 0.0383
-1.7172 -5.2557 2.7446
0.8930 2.5956 5.5290
Be Ba Cu
1 3 1
direct
0.0000 0.0000 0.0000 Be
0.0000 0.5000 0.0000 Ba
0.0000 0.0000 0.5000 Ba
0.5000 0.0000 0.0000 Ba
0.5000 0.5000 0.5000 Cu
```

Output
DFT total energy   -10.78 eV/f.u.
Space-group type   Pm-3m
Density of states at the Fermi level   4.2 states/eV/f.u.
Formation energy   563 meV/atom